# 1
## AlHgBi2As (PBE)

Data for a relaxed structure of AlHgBi2As.

a = 5.680 Å, b = 5.680 Å, c = 5.135 Å
α = 90.00°, β = 90.00°, γ = 90.00°
Element x y z (fractional)
Al1 0.000 0.000 0.000
Hg1 0.500 0.500 0.000
Bi1 0.000 0.500 0.500
Bi2 0.500 0.000 0.500
As1 0.500 0.500 0.500

Output
The value obtained for the total magnetic moment is 0.000 μB per formula unit. As for the energy above the most stable polymorph in this dataset: 0.00 eV/f.u. Its symmetry is No. 123. For the formation energy, the calculation gives 0.577 eV/atom. Its volume is 165.67 Å³/cell. For the density of states at the Fermi level, the calculation gives 0.4727 states/eV/atom. As for the crystal system: tetragonal.



# 2
## Al2HgBiAs (PBE)

Data for a relaxed structure of Al2HgBiAs.

a = 5.039 Å, b = 5.039 Å, c = 5.202 Å
α = 90.00°, β = 90.00°, γ = 90.00°
Element x y z (fractional)
Al1 0.000 0.500 0.000
Al2 0.500 0.000 0.000
Hg1 0.000 0.000 0.500
Bi1 0.500 0.500 0.500
As1 0.000 0.000 0.000

Output
The value obtained for the total magnetic moment is 0.000 μB per formula unit. Its symmetry is No. 123. For the formation energy, the calculation gives 0.390 eV/atom. Its volume is 132.07 Å³/cell. For the density of states at the Fermi level, the calculation gives 0.3798 states/eV/atom. As for the crystal system: tetragonal.



# 3
## MnAlBi2As (PBE)

Data for a relaxed structure of MnAlBi2As.

a = 5.317 Å, b = 5.317 Å, c = 4.403 Å
α = 90.00°, β = 90.00°, γ = 90.00°
Element x y z (fractional)
Mn1 0.000 0.000 0.000
Al1 0.500 0.500 0.500
Bi1 0.000 0.500 0.000
Bi2 0.500 0.000 0.000
As1 0.000 0.000 0.500

Output
The value obtained for the total magnetic moment is 0.000 μB per formula unit. Its symmetry is No. 123. For the formation energy, the calculation gives 0.485 eV/atom. Its volume is 124.50 Å³/cell. For the density of states at the Fermi level, the calculation gives 1.5927 states/eV/atom. As for the crystal system: tetragonal.



# 4
## MnAl2BiAs (PBE)

Data for a relaxed structure of MnAl2BiAs.

a = 4.774 Å, b = 4.774 Å, c = 5.619 Å
α = 90.00°, β = 90.00°, γ = 90.00°
Element x y z (fractional)
Mn1 0.000 0.000 0.000
Al1 0.000 0.500 0.500
Al2 0.500 0.000 0.500
Bi1 0.500 0.500 0.000
As1 0.500 0.500 0.500

Output
The value obtained for the total magnetic moment is 0.290 μB per formula unit. Its symmetry is No. 123. For the formation energy, the calculation gives 1.257 eV/atom. Its volume is 128.04 Å³/cell. For the density of states at the Fermi level, the calculation gives 1.2544 states/eV/atom. As for the crystal system: tetragonal.



# 5
## Al2BiAsPt (PBE)

Data for a relaxed structure of Al2BiAsPt.

a = 4.741 Å, b = 4.741 Å, c = 5.301 Å
α = 90.00°, β = 90.00°, γ = 90.00°
Element x y z (fractional)
Al1 0.000 0.500 0.000
Al2 0.500 0.000 0.000
Bi1 0.000 0.000 0.500
As1 0.500 0.500 0.500
Pt1 0.500 0.500 0.000

Output
The value obtained for the total magnetic moment is 0.000 μB per formula unit. Its symmetry is No. 123. For the formation energy, the calculation gives 0.021 eV/atom. Its volume is 119.17 Å³/cell. For the density of states at the Fermi level, the calculation gives 0.6979 states/eV/atom. As for the crystal system: tetragonal.



# 6
## Al2BiSbAs (PBE)

Data for a relaxed structure of Al2BiSbAs.

a = 5.175 Å, b = 5.175 Å, c = 6.000 Å
α = 90.00°, β = 90.00°, γ = 90.00°
Element x y z (fractional)
Al1 0.000 0.500 0.000
Al2 0.500 0.000 0.000
Bi1 0.000 0.000 0.500
Sb1 0.000 0.000 0.000
As1 0.500 0.500 0.500

Output
The value obtained for the total magnetic moment is 0.000 μB per formula unit. The formation energy from raw total energies is 0.88 eV per atom. Its symmetry is No. 123. Its volume is 160.70 Å³/cell. For the density of states at the Fermi level, the calculation gives 0.6134 states/eV/atom. As for the crystal system: tetragonal.